No. 1
Co2SiAu at its PBEsol-relaxed geometry. Source: Alexandria, functional SCAN.

Output
The calculation puts the uncorrected formation energy at 11 meV per atom.

CIF file:
```
data_Co2SiAu
_cell_length_a 3.640
_cell_length_b 3.640
_cell_length_c 7.356
_cell_angle_alpha 90.00
_cell_angle_beta 90.00
_cell_angle_gamma 90.00
_space_group_name_H-M_alt 'I -4 m 2'
_space_group_IT_number 119
_space_group_name_Hall 'I -4 -2'
loop_
_atom_site_label
_atom_site_type_symbol
_atom_site_fract_x
_atom_site_fract_y
_atom_site_fract_z
Co1 Co 0.000 0.000 0.000
Co2 Co 0.000 0.500 0.250
Si1 Si 0.000 0.000 0.500
Au1 Au 0.000 0.500 0.750
```

***

No. 2
Li2SiSe at its PBEsol-relaxed geometry. Source: Alexandria, functional SCAN.

Output
For the relative energy among the computed polymorphs, the calculation gives 10 meV/atom. The calculation puts the uncorrected formation energy at -362 meV per atom.

CIF file:
```
data_Li2SiSe
_cell_length_a 3.323
_cell_length_b 3.985
_cell_length_c 10.242
_cell_angle_alpha 90.00
_cell_angle_beta 90.00
_cell_angle_gamma 90.00
_space_group_name_H-M_alt 'I m m 2'
_space_group_IT_number 44
loop_
_space_group_symop_operation_xyz
'x,y,z'
'-x,-y,z'
'-x,y,z'
'x,-y,z'
'x+1/2,y+1/2,z+1/2'
'-x+1/2,-y+1/2,z+1/2'
'-x+1/2,y+1/2,z+1/2'
'x+1/2,-y+1/2,z+1/2'
loop_
_atom_site_label
_atom_site_type_symbol
_atom_site_fract_x
_atom_site_fract_y
_atom_site_fract_z
Li1 Li 0.000 0.000 0.000
Li2 Li 0.000 0.500 0.225
Si1 Si 0.000 0.500 0.811
Se1 Se 0.000 0.000 0.502
```

***

No. 3
MgCoN2O at its PBEsol-relaxed geometry. Source: Alexandria, functional SCAN.

Output
The calculation puts the uncorrected formation energy at 1027 meV per atom.

CIF file:
```
data_MgCoN2O
_cell_length_a 3.936
_cell_length_b 3.936
_cell_length_c 3.709
_cell_angle_alpha 90.00
_cell_angle_beta 90.00
_cell_angle_gamma 90.00
_space_group_name_H-M_alt 'P 4/m m m'
_space_group_IT_number 123
_space_group_name_Hall '-P 4 2'
loop_
_atom_site_label
_atom_site_type_symbol
_atom_site_fract_x
_atom_site_fract_y
_atom_site_fract_z
Mg1 Mg 0.000 0.000 0.000
Co1 Co 0.500 0.500 0.500
N1 N 0.000 0.500 0.000
O1 O 0.000 0.000 0.500
```

***

No. 4
TaFeAu2 at its PBEsol-relaxed geometry. Source: Alexandria, functional SCAN.

Output
For the relative energy among the computed polymorphs, the calculation gives 20 meV/atom. Its energy of formation from the pure elements is -0.0134 eV/atom.

CIF file:
```
data_TaFeAu2
_cell_length_a 3.783
_cell_length_b 4.089
_cell_length_c 7.861
_cell_angle_alpha 90.00
_cell_angle_beta 90.00
_cell_angle_gamma 90.00
_space_group_name_H-M_alt 'I m m 2'
_space_group_IT_number 44
loop_
_space_group_symop_operation_xyz
'x,y,z'
'-x,-y,z'
'-x,y,z'
'x,-y,z'
'x+1/2,y+1/2,z+1/2'
'-x+1/2,-y+1/2,z+1/2'
'-x+1/2,y+1/2,z+1/2'
'x+1/2,-y+1/2,z+1/2'
loop_
_atom_site_label
_atom_site_type_symbol
_atom_site_fract_x
_atom_site_fract_y
_atom_site_fract_z
Ta1 Ta 0.000 0.000 0.000
Fe1 Fe 0.000 0.500 0.720
Au1 Au 0.000 0.000 0.478
Au2 Au 0.000 0.500 0.237
```

***

Number 1: calculated volume 97 Å³ per cell, total moment 5.493 Bohr magnetons per cell. Number 2: calculated volume 136 Å³ per cell, total moment 0.000 Bohr magnetons per cell. Number 3: calculated volume 57 Å³ per cell, total moment 7.003 Bohr magnetons per cell. Number 4: calculated volume 122 Å³ per cell, total moment 3.016 Bohr magnetons per cell.